# 1
VASP calculation (PBE) on a geometry-optimized BC structure.

Results
Formation energy (eV per atom): 0.47
Magnetic moment (μB/f.u.): 0.00
Relative energy among the computed polymorphs (eV/atom): 0.321

Unit cell a=2.6412 b=2.6412 c=13.4930 alpha=90.00 beta=90.00 gamma=120.00
Element x y z (fractional)
1 B 0.0000 0.0000 0.0000
2 B 0.0000 0.0000 0.1262
3 B 0.3333 0.6667 0.1967
4 B 0.3333 0.6667 0.3326
5 B 0.3333 0.6667 0.7900
6 B 0.6667 0.3333 0.4774
7 C 0.0000 0.0000 0.5183
8 C 0.0000 0.0000 0.6314
9 C 0.3333 0.6667 0.6715
10 C 0.6667 0.3333 0.3439
11 C 0.6667 0.3333 0.8429
12 C 0.6667 0.3333 0.9469

# 2
VASP calculation (PBE) on a geometry-optimized B7C5 structure.

Results
Formation energy (eV per atom): 0.46
Magnetic moment (μB/f.u.): 0.00
Relative energy among the computed polymorphs (eV/atom): 0.296

Unit cell a=2.6129 b=2.6298 c=12.4024 alpha=90.00 beta=90.00 gamma=90.00
Element x y z (fractional)
1 B 0.0000 0.0000 0.0000
2 B 0.0000 0.0000 0.2944
3 B 0.0000 0.0000 0.6426
4 B 0.0000 0.5000 0.5476
5 B 0.0000 0.5000 0.8836
6 B 0.5000 0.0000 0.7525
7 B 0.5000 0.5000 0.4385
8 C 0.0000 0.5000 0.2114
9 C 0.5000 0.0000 0.0690
10 C 0.5000 0.0000 0.3738
11 C 0.5000 0.5000 0.1422
12 C 0.5000 0.5000 0.8190

# 3
VASP calculation (PBE) on a geometry-optimized B7C5 structure.

Results
Formation energy (eV per atom): 0.35
Magnetic moment (μB/f.u.): 0.00
Relative energy among the computed polymorphs (eV/atom): 0.181

Unit cell a=4.7924 b=2.6076 c=7.1685 alpha=90.00 beta=90.72 gamma=90.00
Element x y z (fractional)
1 B 0.0000 0.0000 0.0000
2 B 0.0802 0.0000 0.6665
3 B 0.2501 0.5000 0.3975
4 B 0.3578 0.0000 0.0096
5 B 0.5550 0.5000 0.1273
6 B 0.7523 0.0000 0.3882
7 B 0.8678 0.5000 0.7725
8 C 0.0749 0.0000 0.4340
9 C 0.3926 0.0000 0.7702
10 C 0.5455 0.5000 0.7570
11 C 0.5738 0.5000 0.3545
12 C 0.8466 0.5000 0.0047

# 4
VASP calculation (PBE) on a geometry-optimized B3C structure.

Results
Formation energy (eV per atom): 0.49
Magnetic moment (μB/f.u.): 0.00
Relative energy among the computed polymorphs (eV/atom): 0.253

Unit cell a=2.3483 b=4.9949 c=4.7394 alpha=90.00 beta=90.00 gamma=90.00
Element x y z (fractional)
1 B 0.2500 0.0000 0.1407
2 B 0.2500 0.2828 0.3592
3 B 0.2500 0.7172 0.3592
4 B 0.7500 0.0000 0.8593
5 B 0.7500 0.2828 0.6408
6 B 0.7500 0.7172 0.6408
7 C 0.2500 0.5000 0.0894
8 C 0.7500 0.5000 0.9106